PBE LaNdGaRh, relaxed; ΔE_f = -0.673 eV/atom
1.0
-3.206 2.199 -2.060
0.121 -2.583 -2.946
-2.380 -4.372 3.735
Ga La Nd Rh
1 1 1 1
Cartesian
-2.089 -0.642 -2.131
-4.468 -2.596 -0.515
-1.184 -0.973 0.804
-3.308 -2.718 2.247



PBE In2Cu2P, relaxed; ΔE_f = 0.167 eV/atom
1.0
6.458 0.000 0.000
0.000 6.458 0.000
0.000 0.000 4.372
In Cu P
4 4 2
Cartesian
4.317 5.371 2.186
2.141 1.088 2.186
1.088 4.317 2.186
5.371 2.141 2.186
5.530 4.158 0.000
0.929 2.301 0.000
4.158 0.929 0.000
2.301 5.530 0.000
3.229 3.229 0.000
0.000 0.000 0.000



PBE Y2Ge2Sb, relaxed; uncorrected formation energy = -3.57 eV per formula unit
1.0
-1.346 1.759 7.246
2.381 -6.877 2.112
3.864 1.451 0.366
Y Ge Sb
4 4 2
Cartesian
1.928 0.055 2.884
1.591 -0.036 6.805
2.971 -3.722 6.839
3.309 -3.632 2.918
-0.549 0.267 4.742
0.290 -2.712 7.688
0.745 -2.406 1.670
1.584 -5.385 4.616
0.000 0.000 0.000
0.518 -2.559 4.679



PBE LiCrW4, relaxed; ΔE_f = 0.711 eV/atom
1.0
0.000 3.698 3.698
3.698 0.000 3.698
3.698 3.698 0.000
W Cr Li
4 1 1
Cartesian
4.629 4.629 4.629
2.768 2.768 4.629
2.768 4.629 2.768
4.629 2.768 2.768
1.849 1.849 1.849
0.000 0.000 0.000



PBE TbSbS2O, relaxed; uncorrected formation energy = -8.47 eV per formula unit
1.0
3.883 0.000 0.000
0.000 3.883 0.000
0.000 0.000 13.957
S Tb O Sb
4 2 2 2
Cartesian
1.941 0.000 4.363
0.000 1.941 1.615
0.000 1.941 9.594
1.941 0.000 12.341
1.941 0.000 8.136
0.000 1.941 5.821
0.000 0.000 6.978
1.941 1.941 6.978
1.941 0.000 1.932
0.000 1.941 12.025



PBE KNbGaAs2, relaxed; ΔE_f = -0.177 eV/atom
1.0
5.075 0.000 0.000
0.000 5.075 0.000
0.000 0.000 5.186
K Nb As Ga
1 1 2 1
Cartesian
2.538 2.538 2.593
0.000 0.000 0.000
0.000 2.538 0.000
2.538 0.000 0.000
0.000 0.000 2.593



PBE La2YBe, relaxed; ΔE_f = 0.131 eV/atom
1.0
-1.561 -2.061 -6.056
1.963 -3.075 -5.482
-1.458 -5.229 -0.281
Be La Y
1 2 1
Cartesian
-0.287 -2.611 -2.851
-0.786 -7.776 -8.907
0.323 -5.130 -11.043
-0.433 -5.167 -6.466



PBE CuRu2Pb, relaxed; ΔE_f = 0.426 eV/atom
1.0
-2.029 1.445 1.555
0.165 -2.037 2.108
5.704 4.162 3.575
Cu Pb Ru
1 1 2
Cartesian
2.610 1.905 1.636
3.391 2.859 4.542
0.252 0.184 0.158
0.438 0.703 2.690



PBE Fe3TcRh6, relaxed; ΔE_f = -0.042 eV/atom
1.0
-3.602 0.905 -0.878
1.656 -1.293 -8.127
-2.294 -8.152 1.010
Fe Rh Tc
6 12 2
Cartesian
-3.339 -4.815 -3.704
-2.083 -1.771 -5.720
-1.949 -8.864 -5.286
-0.901 -3.725 -4.291
-2.157 -6.769 -2.276
-2.290 0.324 -2.709
-4.060 -5.246 -1.191
-1.636 -4.206 -1.770
-2.812 -2.267 -3.239
-2.874 -7.188 0.238
-1.365 -1.352 -8.234
-1.109 -1.608 -1.256
-3.858 -7.362 -4.202
-0.180 -3.294 -6.805
-1.427 -6.273 -4.756
-2.604 -4.334 -6.226
-0.382 -1.178 -3.793
-3.131 -6.932 -6.740
-3.549 -2.685 -0.648
-0.691 -5.855 -7.347



PBE Na2CdSn2, relaxed; ΔE_f = -0.132 eV/atom
1.0
-1.767 -0.985 -7.281
7.233 -1.547 -1.546
-0.859 -4.888 0.870
Na Sn Cd
4 4 2
Cartesian
4.093 -3.637 -1.801
0.514 -3.783 -6.156
0.179 -3.030 -2.255
4.428 -4.390 -5.702
2.380 -0.696 -1.561
-0.132 -0.840 -4.853
3.086 -1.835 -7.266
5.599 -1.691 -3.974
0.000 0.000 0.000
2.733 -1.266 -4.413



PBE Zn2PW, relaxed; ΔE_f = 0.369 eV/atom
1.0
-0.499 2.257 -1.461
-2.125 -0.136 1.716
4.226 4.555 5.592
Zn W P
2 1 1
Cartesian
1.063 1.145 1.406
3.163 3.409 4.186
-1.312 1.061 0.128
0.801 3.338 2.924



PBE Ac2Ni3Sb4Ir, relaxed; uncorrected formation energy = -6.41 eV per formula unit
1.0
-2.498 0.374 3.882
3.588 -1.587 2.461
3.375 9.567 1.250
Ni Sb Ac Ir
3 4 2 1
Cartesian
2.190 0.330 1.377
1.730 8.630 3.044
1.687 4.783 0.625
0.545 -0.607 3.172
0.878 6.217 2.729
3.042 2.743 1.693
0.000 0.000 0.000
4.298 6.305 2.158
-0.378 2.655 2.264
2.233 4.177 3.797



Number 1: raw total energy -5.69 eV/atom, total magnetic moment 0.0000 μB per atom. Number 2: raw total energy -3.65 eV/atom, total magnetic moment 0.0000 μB per atom. Number 3: raw total energy -5.97 eV/atom, total magnetic moment 0.0000 μB per atom. Number 4: raw total energy -9.85 eV/atom, total magnetic moment 0.0739 μB per atom. Number 5: raw total energy -6.09 eV/atom, total magnetic moment 0.0000 μB per atom. Number 6: raw total energy -4.88 eV/atom, total magnetic moment 0.0000 μB per atom. Number 7: raw total energy -4.88 eV/atom, total magnetic moment 0.0000 μB per atom. Number 8: raw total energy -6.16 eV/atom, total magnetic moment 0.0000 μB per atom. Number 9: raw total energy -8.03 eV/atom, total magnetic moment 0.9173 μB per atom. Number 10: raw total energy -2.44 eV/atom, total magnetic moment 0.0000 μB per atom. Number 11: raw total energy -4.86 eV/atom, total magnetic moment 0.0000 μB per atom. Number 12: raw total energy -5.73 eV/atom, total magnetic moment 0.0000 μB per atom.